AlTlSb2 PBE relaxed; E above lowest polymorph = 5.52 kcal/mol of atoms; density = 7.4 g/cm³; formation energy (no corrections) = 0.231 eV per atom
1.0
-2.420 3.084 1.094
0.372 -1.412 4.803
4.175 3.070 0.579
Sb Tl Al
2 1 1
direct
0.000 0.000 0.000
0.500 0.500 0.000
0.500 0.000 0.500
0.000 0.500 0.500

---

Al2TlSb PBE relaxed; E above lowest polymorph = 2.81 kcal/mol of atoms; density = 6.5 g/cm³; formation energy (no corrections) = 0.269 eV per atom
1.0
-2.142 1.286 5.853
-4.183 -3.548 3.228
5.368 -0.424 -3.392
Sb Tl Al
1 1 2
direct
0.500 0.500 0.000
0.750 0.250 0.500
0.000 0.000 0.000
0.250 0.750 0.500

---

Al2TlSb PBE relaxed; E above lowest polymorph = 3.12 kcal/mol of atoms; density = 5.1 g/cm³; formation energy (no corrections) = 0.283 eV per atom
1.0
6.634 0.000 0.000
0.000 6.634 0.000
3.317 3.317 5.679
Sb Tl Al
2 2 4
direct
0.500 0.500 0.000
0.250 0.750 0.500
0.000 0.000 0.000
0.750 0.250 0.500
0.615 0.125 0.250
0.135 0.625 0.250
0.375 0.385 0.750
0.875 0.865 0.750